Record 1
The following is a DFT calculation (GGA-PBE) of a relaxed Y3Mg3CuAg2 crystal.

Calculated values
- VASP energy: -3.982 eV per atom
- Space-group type: No. 189
- Spin magnetization: 0.03 Bohr magnetons per cell

a b c (Å): 7.588 7.588 4.152
angles (deg): 90.00 90.00 120.00
Atoms (fractional coordinates):
Y1 0.000 0.593 0.000
Y2 0.407 0.407 0.000
Y3 0.593 0.000 0.000
Mg1 0.000 0.238 0.500
Mg2 0.238 0.000 0.500
Mg3 0.762 0.762 0.500
Cu1 0.000 0.000 0.000
Ag1 0.333 0.667 0.500
Ag2 0.667 0.333 0.500

=====

Record 2
The following is a DFT calculation (GGA-PBE) of a relaxed ZnGeNO crystal.

Calculated values
- Space-group type: No. 29
- Polymorph energy (0 for the lowest one): 67 meV per atom

a b c (Å): 5.919 6.443 5.146
angles (deg): 90.00 90.00 90.00
Atoms (fractional coordinates):
Zn1 0.069 0.134 0.000
Zn2 0.431 0.134 0.500
Zn3 0.569 0.866 0.000
Zn4 0.931 0.866 0.500
Ge1 0.097 0.640 0.009
Ge2 0.403 0.640 0.509
Ge3 0.597 0.360 0.009
Ge4 0.903 0.360 0.509
N1 0.073 0.596 0.633
N2 0.427 0.596 0.133
N3 0.573 0.404 0.633
N4 0.927 0.404 0.133
O1 0.105 0.123 0.607
O2 0.395 0.123 0.107
O3 0.605 0.877 0.607
O4 0.895 0.877 0.107

=====

Record 3
The following is a DFT calculation (GGA-PBE) of a relaxed Li4MgPdPb2 crystal.

Calculated values
- VASP energy: -3.072 eV per atom
- Space-group type: No. 115

a b c (Å): 4.666 4.666 6.842
angles (deg): 90.00 90.00 90.00
Atoms (fractional coordinates):
Li1 0.000 0.000 0.000
Li2 0.000 0.500 0.216
Li3 0.500 0.000 0.784
Li4 0.500 0.500 0.500
Mg1 0.000 0.000 0.500
Pd1 0.500 0.500 0.000
Pb1 0.000 0.500 0.763
Pb2 0.500 0.000 0.237

=====

Record 4
The following is a DFT calculation (GGA-PBE) of a relaxed PdF2 crystal.

Calculated values
- VASP energy: -3.951 eV per atom
- Space-group type: No. 58

a b c (Å): 2.861 7.939 3.146
angles (deg): 90.00 90.00 90.00
Atoms (fractional coordinates):
Pd1 0.000 0.000 0.000
Pd2 0.500 0.500 0.500
F1 0.171 0.149 0.500
F2 0.329 0.649 0.000
F3 0.671 0.351 0.000
F4 0.829 0.851 0.500

=====

Record 5
The following is a DFT calculation (GGA-PBE) of a relaxed RbNa2CuF6 crystal.

Calculated values
- VASP energy: -3.818 eV per atom
- Space-group type: No. 225

a b c (Å): 6.061 6.061 6.061
angles (deg): 60.00 60.00 60.00
Atoms (fractional coordinates):
Rb1 0.000 0.000 0.000
Na1 0.250 0.250 0.250
Na2 0.750 0.750 0.750
Cu1 0.500 0.500 0.500
F1 0.280 0.280 0.720
F2 0.280 0.720 0.280
F3 0.280 0.720 0.720
F4 0.720 0.280 0.280
F5 0.720 0.280 0.720
F6 0.720 0.720 0.280

=====

Record 6
The following is a DFT calculation (GGA-PBE) of a relaxed TbBr3 crystal.

Calculated values
- VASP energy: -4.251 eV per atom
- Space-group type: No. 136
- Spin magnetization: 0.00 Bohr magnetons per cell

a b c (Å): 6.710 6.710 12.210
angles (deg): 90.00 90.00 90.00
Atoms (fractional coordinates):
Tb1 0.000 0.000 0.170
Tb2 0.000 0.000 0.830
Tb3 0.500 0.500 0.330
Tb4 0.500 0.500 0.670
Br1 0.200 0.200 0.000
Br2 0.203 0.203 0.337
Br3 0.203 0.203 0.663
Br4 0.297 0.703 0.163
Br5 0.297 0.703 0.837
Br6 0.300 0.700 0.500
Br7 0.700 0.300 0.500
Br8 0.703 0.297 0.163
Br9 0.703 0.297 0.837
Br10 0.797 0.797 0.337
Br11 0.797 0.797 0.663
Br12 0.800 0.800 0.000

=====

Record 7
The following is a DFT calculation (GGA-PBE) of a relaxed NdH3Pt crystal.

Calculated values
- VASP energy: -4.739 eV per atom
- Space-group type: No. 10
- Spin magnetization: 0.01 Bohr magnetons per cell

a b c (Å): 4.574 4.156 6.482
angles (deg): 90.00 91.77 90.00
Atoms (fractional coordinates):
Nd1 0.000 0.000 0.000
Nd2 0.500 0.500 0.500
H1 0.214 0.500 0.155
H2 0.270 0.000 0.329
H3 0.276 0.000 0.681
H4 0.724 0.000 0.319
H5 0.730 0.000 0.671
H6 0.786 0.500 0.845
Pt1 0.000 0.000 0.500
Pt2 0.500 0.500 0.000

=====

Record 8
The following is a DFT calculation (GGA-PBE) of a relaxed Zr8Zn2C3N3 crystal.

Calculated values
- VASP energy: -8.714 eV per atom
- Space-group type: No. 164
- Spin magnetization: 0.01 Bohr magnetons per cell

a b c (Å): 3.310 3.310 24.830
angles (deg): 90.00 90.00 120.00
Atoms (fractional coordinates):
Zr1 0.000 0.000 0.156
Zr2 0.000 0.000 0.340
Zr3 0.000 0.000 0.660
Zr4 0.000 0.000 0.844
Zr5 0.333 0.667 0.553
Zr6 0.333 0.667 0.946
Zr7 0.667 0.333 0.054
Zr8 0.667 0.333 0.447
Zn1 0.333 0.667 0.753
Zn2 0.667 0.333 0.247
C1 0.000 0.000 0.500
C2 0.333 0.667 0.387
C3 0.667 0.333 0.613
N1 0.000 0.000 0.000
N2 0.333 0.667 0.106
N3 0.667 0.333 0.894

=====

Record 9
The following is a DFT calculation (GGA-PBE) of a relaxed BeNiSbMo crystal.

Calculated values
- Space-group type: No. 216
- Spin magnetization: 0.00 Bohr magnetons per cell
- Polymorph energy (0 for the lowest one): 0 meV per atom

a b c (Å): 4.319 4.319 4.319
angles (deg): 60.00 60.00 60.00
Atoms (fractional coordinates):
Be1 0.000 0.000 0.000
Ni1 0.750 0.750 0.750
Sb1 0.500 0.500 0.500
Mo1 0.250 0.250 0.250

=====

Record 10
The following is a DFT calculation (GGA-PBE) of a relaxed DyTmGa2Cu2 crystal.

Calculated values
- VASP energy: -4.276 eV per atom
- Space-group type: No. 187
- Spin magnetization: 0.00 Bohr magnetons per cell

a b c (Å): 4.340 4.340 6.949
angles (deg): 90.00 90.00 120.00
Atoms (fractional coordinates):
Dy1 0.000 0.000 0.000
Tm1 0.000 0.000 0.500
Ga1 0.333 0.667 0.269
Ga2 0.333 0.667 0.731
Cu1 0.667 0.333 0.250
Cu2 0.667 0.333 0.750

=====

Record 11
The following is a DFT calculation (GGA-PBE) of a relaxed NdGdB2Pt2N2 crystal.

Calculated values
- VASP energy: -7.563 eV per atom
- Space-group type: No. 99
- Spin magnetization: 0.02 Bohr magnetons per cell

a b c (Å): 3.779 3.779 7.693
angles (deg): 90.00 90.00 90.00
Atoms (fractional coordinates):
Nd1 0.000 0.000 0.000
Gd1 0.500 0.500 0.674
B1 0.000 0.000 0.503
B2 0.500 0.500 0.167
Pt1 0.000 0.500 0.338
Pt2 0.500 0.000 0.338
N1 0.000 0.000 0.690
N2 0.500 0.500 0.979

=====

Record 12
The following is a DFT calculation (GGA-PBE) of a relaxed Y2BeAu crystal.

Calculated values
- VASP energy: -4.933 eV per atom
- Space-group type: No. 216
- Spin magnetization: 0.95 Bohr magnetons per cell

a b c (Å): 4.881 4.881 4.881
angles (deg): 60.00 60.00 60.00
Atoms (fractional coordinates):
Y1 0.000 0.000 0.000
Y2 0.250 0.250 0.250
Be1 0.500 0.500 0.500
Au1 0.750 0.750 0.750

=====

For each record above, in turn, the calculated theoretical density values are 4.96 5.69 6.38 6.71 3.26 4.82 9.23 6.62 8.32 8.76 11.20 7.75 g cm⁻³.